Density functional theory data (PBE) for Nd4CuSiI2 after structural relaxation.

As for the total energy: -4.6667 eV/atom. Its total moment is 0.00 Bohr magnetons per cell. The calculation puts the uncorrected formation energy at -0.705 eV per atom.

The structure belongs to space group P2/m (No. 10); the cell edges are 7.581, 4.220 and 8.028 Å and the angles 90.00°, 106.94° and 90.00°. The inequivalent atoms are Nd at (0.227, 0.000, 0.198), Nd at (0.270, 0.500, 0.797), Cu at (0.000, 0.500, 0.000), Si at (0.500, 0.000, 0.000), I at (0.000, 0.000, 0.500) and I at (0.500, 0.500, 0.500).